(1)
Computed, not measured: a geometry-optimized CeSmSi2Ni2 structure at the PBE-GGA level of DFT.

a b c (Å): 4.0574 4.0574 7.9843
angles (deg): 90.00 90.00 120.00
Last column: nearest neighbours and their distance in Å.
Fractional positions:
Ce1 0.0000 0.0000 0.0000  6 Ni 3.06, 6 Si 3.06
Sm1 0.0000 0.0000 0.5000  6 Si 3.09, 6 Ni 3.10
Si1 0.3333 0.6667 0.2467  3 Ni 2.34
Si2 0.6667 0.3333 0.7533  3 Ni 2.34
Ni1 0.3333 0.6667 0.7533  3 Si 2.34
Ni2 0.6667 0.3333 0.2467  3 Si 2.34

DFT total energy ... -37.52 eV/cell
Space-group type ... P-3m1
Uncorrected formation energy ... -743 meV/atom

(2)
Computed, not measured: a geometry-optimized Ce2SmSi2Ni2 structure at the PBE-GGA level of DFT.

a b c (Å): 9.3929 9.3929 9.3929
angles (deg): 25.40 25.40 25.40
Last column: nearest neighbours and their distance in Å.
Fractional positions:
Ce1 0.1371 0.1371 0.1371  3 Ce 2.88, 3 Ni 2.94, 3 Si 2.96
Ce2 0.8629 0.8629 0.8629  3 Ce 2.88, 3 Ni 2.94, 3 Si 2.96
Sm1 0.0000 0.0000 0.0000  6 Si 3.10, 6 Ni 3.13
Si1 0.2608 0.2608 0.2608  3 Ni 2.38
Si2 0.7392 0.7392 0.7392  3 Ni 2.38
Ni1 0.4075 0.4075 0.4075  3 Si 2.38
Ni2 0.5925 0.5925 0.5925  3 Si 2.38

DFT total energy ... -43.61 eV/cell
Space-group type ... R-3m
Uncorrected formation energy ... -660 meV/atom

(3)
Computed, not measured: a geometry-optimized Ce2Si3Ni4Sn structure at the PBE-GGA level of DFT.

a b c (Å): 4.0885 4.0885 9.8428
angles (deg): 90.00 90.00 90.00
Last column: nearest neighbours and their distance in Å.
Fractional positions:
Ce1 0.0000 0.5000 0.2334  8 Ni 3.08-3.13, 6 Si 3.10-3.33, 2 Sn 3.33
Ce2 0.5000 0.0000 0.7666  8 Ni 3.08-3.13, 6 Si 3.10-3.33, 2 Sn 3.33
Si1 0.0000 0.5000 0.8791  5 Ni 2.30-2.37
Si2 0.5000 0.0000 0.1209  5 Ni 2.30-2.37
Si3 0.5000 0.5000 0.5000  4 Ni 2.49
Ni1 0.0000 0.0000 0.0000  4 Si 2.37
Ni2 0.0000 0.5000 0.6450  3 Si 2.30-2.49, 2 Sn 2.49
Ni3 0.5000 0.0000 0.3550  3 Si 2.30-2.49, 2 Sn 2.49
Ni4 0.5000 0.5000 0.0000  4 Si 2.37
Sn1 0.0000 0.0000 0.5000  4 Ni 2.49

DFT total energy ... -62.30 eV/cell
Space-group type ... P-4m2
Uncorrected formation energy ... -703 meV/atom

(4)
Computed, not measured: a geometry-optimized TbCeSi2Ni2 structure at the PBE-GGA level of DFT.

a b c (Å): 4.0502 4.0502 7.8374
angles (deg): 90.00 90.00 120.00
Last column: nearest neighbours and their distance in Å.
Fractional positions:
Tb1 0.0000 0.0000 0.0000  6 Ni 3.03, 6 Si 3.05
Ce1 0.0000 0.0000 0.5000  6 Si 3.06, 6 Ni 3.07
Si1 0.3333 0.6667 0.7510  3 Ni 2.34
Si2 0.6667 0.3333 0.2490  3 Ni 2.34
Ni1 0.3333 0.6667 0.2453  3 Si 2.34
Ni2 0.6667 0.3333 0.7547  3 Si 2.34

DFT total energy ... -37.55 eV/cell
Space-group type ... P-3m1
Uncorrected formation energy ... -763 meV/atom